Entry 1:
# PBE YTeS2, relaxed
# Fermi-level density of states   3.2 states/eV/f.u.
# Energy relative to the elements, uncorrected   0.004 eV per atom
# Crystal system   trigonal
data_YTeS2
_cell_length_a 3.7066
_cell_length_b 3.7066
_cell_length_c 26.9028
_cell_angle_alpha 90.00
_cell_angle_beta 90.00
_cell_angle_gamma 120.00
_space_group_name_H-M_alt 'R -3 m'
_space_group_IT_number 166
_space_group_name_Hall '-R 3 2"'
loop_
_atom_site_label
_atom_site_fract_x
_atom_site_fract_y
_atom_site_fract_z
_atom_site_occupancy
Y1 0.0000 0.0000 0.0000 1
Te1 0.0000 0.0000 0.5000 1
S1 0.0000 0.0000 0.0982 1

***

Entry 2:
# PBE SrHgP2O8, relaxed
# Fermi-level density of states   3.7 states/eV/f.u.
# Energy relative to the elements, uncorrected   -1.783 eV per atom
# Crystal system   trigonal
data_SrHgP2O8
_cell_length_a 5.0917
_cell_length_b 5.0917
_cell_length_c 7.7106
_cell_angle_alpha 90.00
_cell_angle_beta 90.00
_cell_angle_gamma 120.00
_space_group_name_H-M_alt 'P -3'
_space_group_IT_number 147
loop_
_space_group_symop_operation_xyz
'x,y,z'
'-x,-y,-z'
'-y,x-y,z'
'y,-x+y,-z'
'-x+y,-x,z'
'x-y,x,-z'
loop_
_atom_site_label
_atom_site_fract_x
_atom_site_fract_y
_atom_site_fract_z
_atom_site_occupancy
Sr1 0.0000 0.0000 0.0000 1
Hg1 0.0000 0.0000 0.5000 1
P1 0.3333 0.6667 0.7603 1
O1 0.0686 0.3522 0.7046 1
O2 0.3333 0.6667 0.9612 1

***

Entry 3:
# PBE Nd3Si6Pd2Au, relaxed
# Fermi-level density of states   3.8 states/eV/f.u.
# Energy relative to the elements, uncorrected   -0.405 eV per atom
# Crystal system   trigonal
data_Nd3Si6Pd2Au
_cell_length_a 5.8312
_cell_length_b 5.8312
_cell_length_c 8.2884
_cell_angle_alpha 90.00
_cell_angle_beta 90.00
_cell_angle_gamma 120.00
_space_group_name_H-M_alt 'P -3 m 1'
_space_group_IT_number 164
_space_group_name_Hall '-P 3 2"'
loop_
_atom_site_label
_atom_site_fract_x
_atom_site_fract_y
_atom_site_fract_z
_atom_site_occupancy
Nd1 0.0000 0.0000 0.0000 1
Nd2 0.3333 0.6667 0.6143 1
Si1 0.1940 0.3880 0.2759 1
Pd1 0.3333 0.6667 0.0250 1
Au1 0.0000 0.0000 0.5000 1

***

Entry 4:
# PBE PtCSe3, relaxed
# Fermi-level density of states   4.5 states/eV/f.u.
# Energy relative to the elements, uncorrected   1.245 eV per atom
# Crystal system   cubic
data_PtCSe3
_cell_length_a 4.351
_cell_length_b 4.351
_cell_length_c 4.351
_cell_angle_alpha 90.00
_cell_angle_beta 90.00
_cell_angle_gamma 90.00
_space_group_name_H-M_alt 'P m -3 m'
_space_group_IT_number 221
_space_group_name_Hall '-P 4 2 3'
loop_
_atom_site_label
_atom_site_fract_x
_atom_site_fract_y
_atom_site_fract_z
_atom_site_occupancy
Pt1 0.000 0.000 0.000 1
C1 0.500 0.500 0.500 1
Se1 0.000 0.500 0.500 1

***

Entry 5:
# PBE PmYBiTe, relaxed
# Fermi-level density of states   1.5 states/eV/f.u.
# Energy relative to the elements, uncorrected   -1.148 eV per atom
# Crystal system   tetragonal
data_PmYBiTe
_cell_length_a 4.483
_cell_length_b 4.483
_cell_length_c 6.319
_cell_angle_alpha 90.00
_cell_angle_beta 90.00
_cell_angle_gamma 90.00
_space_group_name_H-M_alt 'P 4 m m'
_space_group_IT_number 99
loop_
_space_group_symop_operation_xyz
'x,y,z'
'-y,x,z'
'-x,-y,z'
'y,-x,z'
'-x,y,z'
'y,x,z'
'x,-y,z'
'-y,-x,z'
loop_
_atom_site_label
_atom_site_fract_x
_atom_site_fract_y
_atom_site_fract_z
_atom_site_occupancy
Pm1 0.000 0.000 0.000 1
Y1 0.500 0.500 0.501 1
Bi1 0.500 0.500 0.001 1
Te1 0.000 0.000 0.500 1

***

Entry 6:
# PBE YAlSb2, relaxed
# Fermi-level density of states   0.8 states/eV/f.u.
# Energy relative to the elements, uncorrected   -0.350 eV per atom
# Crystal system   tetragonal
data_YAlSb2
_cell_length_a 7.534
_cell_length_b 7.534
_cell_length_c 8.279
_cell_angle_alpha 90.00
_cell_angle_beta 90.00
_cell_angle_gamma 90.00
_space_group_name_H-M_alt 'I -4 2 d'
_space_group_IT_number 122
_space_group_name_Hall 'I -4 2bw'
loop_
_atom_site_label
_atom_site_fract_x
_atom_site_fract_y
_atom_site_fract_z
_atom_site_occupancy
Y1 0.000 0.000 0.000 1
Al1 0.000 0.000 0.500 1
Sb1 0.205 0.250 0.625 1

***

Entry 7:
# PBE Np3Ag5Te12, relaxed
# Fermi-level density of states   42.1 states/eV/f.u.
# Energy relative to the elements, uncorrected   -0.181 eV per atom
# Crystal system   cubic
data_Np3Ag5Te12
_cell_length_a 17.186
_cell_length_b 17.186
_cell_length_c 17.186
_cell_angle_alpha 90.00
_cell_angle_beta 90.00
_cell_angle_gamma 90.00
_space_group_name_H-M_alt 'I a -3 d'
_space_group_IT_number 230
_space_group_name_Hall '-I 4bd 2c 3'
loop_
_atom_site_label
_atom_site_fract_x
_atom_site_fract_y
_atom_site_fract_z
_atom_site_occupancy
Np1 0.000 0.250 0.125 1
Ag1 0.000 0.000 0.000 1
Ag2 0.000 0.250 0.375 1
Te1 0.018 0.069 0.653 1

***

Entry 8:
# PBE InGaSiBr2, relaxed
# Fermi-level density of states   3.3 states/eV/f.u.
# Energy relative to the elements, uncorrected   0.082 eV per atom
# Crystal system   tetragonal
data_InGaSiBr2
_cell_length_a 5.277
_cell_length_b 5.277
_cell_length_c 5.466
_cell_angle_alpha 90.00
_cell_angle_beta 90.00
_cell_angle_gamma 90.00
_space_group_name_H-M_alt 'P 4/m m m'
_space_group_IT_number 123
_space_group_name_Hall '-P 4 2'
loop_
_atom_site_label
_atom_site_fract_x
_atom_site_fract_y
_atom_site_fract_z
_atom_site_occupancy
In1 0.000 0.000 0.000 1
Ga1 0.500 0.500 0.000 1
Si1 0.000 0.000 0.500 1
Br1 0.000 0.500 0.500 1

***

Entry 9:
# PBE YNiAu, relaxed
# Fermi-level density of states   1.9 states/eV/f.u.
# Calculated formation energy   -1.79 eV/f.u.
# Crystal system   orthorhombic
data_YNiAu
_cell_length_a 6.881
_cell_length_b 4.062
_cell_length_c 8.187
_cell_angle_alpha 90.00
_cell_angle_beta 90.00
_cell_angle_gamma 90.00
_space_group_name_H-M_alt 'P n m a'
_space_group_IT_number 62
loop_
_space_group_symop_operation_xyz
'x,y,z'
'-x,-y,-z'
'-x+1/2,-y,z+1/2'
'x+1/2,y,-z+1/2'
'x+1/2,-y+1/2,-z+1/2'
'-x+1/2,y+1/2,z+1/2'
'-x,y+1/2,-z'
'x,-y+1/2,z'
loop_
_atom_site_label
_atom_site_fract_x
_atom_site_fract_y
_atom_site_fract_z
_atom_site_occupancy
Y1 0.032 0.250 0.188 1
Ni1 0.239 0.750 0.377 1
Au1 0.158 0.250 0.567 1

***

Entry 10:
# PBE As2PdI6, relaxed
# Fermi-level density of states   4.4 states/eV/f.u.
# Energy relative to the elements, uncorrected   -0.037 eV per atom
# Crystal system   trigonal
data_As2PdI6
_cell_length_a 7.8632
_cell_length_b 7.8632
_cell_length_c 21.8385
_cell_angle_alpha 90.00
_cell_angle_beta 90.00
_cell_angle_gamma 120.00
_space_group_name_H-M_alt 'R 3'
_space_group_IT_number 146
_space_group_name_Hall 'R 3'
loop_
_atom_site_label
_atom_site_fract_x
_atom_site_fract_y
_atom_site_fract_z
_atom_site_occupancy
As1 0.0000 0.0000 0.0000 1
As2 0.0000 0.0000 0.1204 1
Pd1 0.0000 0.0000 0.3928 1
I1 0.0405 0.6680 0.1348 1
I2 0.0419 0.3723 0.9841 1

***

Entry 11:
# PBE NpNbOsW, relaxed
# Fermi-level density of states   9.2 states/eV/f.u.
# Calculated formation energy   1.36 eV/f.u.
# Crystal system   cubic
data_NpNbOsW
_cell_length_a 6.534
_cell_length_b 6.534
_cell_length_c 6.534
_cell_angle_alpha 90.00
_cell_angle_beta 90.00
_cell_angle_gamma 90.00
_space_group_name_H-M_alt 'F -4 3 m'
_space_group_IT_number 216
_space_group_name_Hall 'F -4 2 3'
loop_
_atom_site_label
_atom_site_fract_x
_atom_site_fract_y
_atom_site_fract_z
_atom_site_occupancy
Np1 0.000 0.000 0.000 1
Nb1 0.250 0.250 0.750 1
Os1 0.000 0.000 0.500 1
W1 0.250 0.250 0.250 1

***

Entry 12:
# PBE NbSnPt3, relaxed
# Fermi-level density of states   10.7 states/eV/f.u.
# Calculated formation energy   5.52 eV/f.u.
# Crystal system   cubic
data_NbSnPt3
_cell_length_a 4.848
_cell_length_b 4.848
_cell_length_c 4.848
_cell_angle_alpha 90.00
_cell_angle_beta 90.00
_cell_angle_gamma 90.00
_space_group_name_H-M_alt 'P m -3 m'
_space_group_IT_number 221
_space_group_name_Hall '-P 4 2 3'
loop_
_atom_site_label
_atom_site_fract_x
_atom_site_fract_y
_atom_site_fract_z
_atom_site_occupancy
Nb1 0.000 0.000 0.000 1
Sn1 0.500 0.500 0.500 1
Pt1 0.000 0.500 0.500 1

***

Entry 13:
# PBE PuCrC, relaxed
# Fermi-level density of states   3.2 states/eV/f.u.
# Calculated formation energy   0.85 eV/f.u.
# Crystal system   tetragonal
data_PuCrC
_cell_length_a 2.890
_cell_length_b 2.890
_cell_length_c 9.219
_cell_angle_alpha 90.00
_cell_angle_beta 90.00
_cell_angle_gamma 90.00
_space_group_name_H-M_alt 'I 4 m m'
_space_group_IT_number 107
_space_group_name_Hall 'I 4 -2'
loop_
_atom_site_label
_atom_site_fract_x
_atom_site_fract_y
_atom_site_fract_z
_atom_site_occupancy
Pu1 0.000 0.000 0.000 1
Cr1 0.000 0.000 0.265 1
C1 0.000 0.000 0.707 1

***

Entry 14:
# PBE SbBrOF2, relaxed
# Fermi-level density of states   3.3 states/eV/f.u.
# Energy relative to the elements, uncorrected   -0.037 eV per atom
# Crystal system   tetragonal
data_SbBrOF2
_cell_length_a 5.089
_cell_length_b 5.089
_cell_length_c 3.608
_cell_angle_alpha 90.00
_cell_angle_beta 90.00
_cell_angle_gamma 90.00
_space_group_name_H-M_alt 'P 4/m m m'
_space_group_IT_number 123
_space_group_name_Hall '-P 4 2'
loop_
_atom_site_label
_atom_site_fract_x
_atom_site_fract_y
_atom_site_fract_z
_atom_site_occupancy
Sb1 0.000 0.000 0.000 1
Br1 0.500 0.500 0.500 1
O1 0.500 0.500 0.000 1
F1 0.000 0.500 0.500 1

***

Entry 15:
# PBE InCoRe2, relaxed
# Fermi-level density of states   3.1 states/eV/f.u.
# Calculated formation energy   1.86 eV/f.u.
# Crystal system   orthorhombic
data_InCoRe2
_cell_length_a 3.156
_cell_length_b 4.255
_cell_length_c 4.552
_cell_angle_alpha 90.00
_cell_angle_beta 90.00
_cell_angle_gamma 90.00
_space_group_name_H-M_alt 'P m m m'
_space_group_IT_number 47
loop_
_space_group_symop_operation_xyz
'x,y,z'
'-x,-y,-z'
'-x,-y,z'
'x,y,-z'
'x,-y,-z'
'-x,y,z'
'-x,y,-z'
'x,-y,z'
loop_
_atom_site_label
_atom_site_fract_x
_atom_site_fract_y
_atom_site_fract_z
_atom_site_occupancy
In1 0.000 0.000 0.000 1
Co1 0.500 0.500 0.000 1
Re1 0.000 0.500 0.500 1
Re2 0.500 0.000 0.500 1

***

Entry 16:
# PBE AlGe3Sb, relaxed
# Fermi-level density of states   3.0 states/eV/f.u.
# Energy relative to the elements, uncorrected   1.041 eV per atom
# Crystal system   cubic
data_AlGe3Sb
_cell_length_a 5.330
_cell_length_b 5.330
_cell_length_c 5.330
_cell_angle_alpha 90.00
_cell_angle_beta 90.00
_cell_angle_gamma 90.00
_space_group_name_H-M_alt 'P m -3 m'
_space_group_IT_number 221
_space_group_name_Hall '-P 4 2 3'
loop_
_atom_site_label
_atom_site_fract_x
_atom_site_fract_y
_atom_site_fract_z
_atom_site_occupancy
Al1 0.000 0.000 0.000 1
Ge1 0.000 0.500 0.500 1
Sb1 0.500 0.500 0.500 1

***

Entry 17:
# PBE YInSn2Se, relaxed
# Fermi-level density of states   3.6 states/eV/f.u.
# Energy relative to the elements, uncorrected   0.053 eV per atom
# Crystal system   tetragonal
data_YInSn2Se
_cell_length_a 5.913
_cell_length_b 5.913
_cell_length_c 5.348
_cell_angle_alpha 90.00
_cell_angle_beta 90.00
_cell_angle_gamma 90.00
_space_group_name_H-M_alt 'P 4/m m m'
_space_group_IT_number 123
_space_group_name_Hall '-P 4 2'
loop_
_atom_site_label
_atom_site_fract_x
_atom_site_fract_y
_atom_site_fract_z
_atom_site_occupancy
Y1 0.000 0.000 0.000 1
In1 0.500 0.500 0.500 1
Sn1 0.000 0.500 0.000 1
Se1 0.000 0.000 0.500 1

***

Entry 18:
# PBE K4BaRe3O12, relaxed
# Fermi-level density of states   5.2 states/eV/f.u.
# Energy relative to the elements, uncorrected   -1.628 eV per atom
# Crystal system   cubic
data_K4BaRe3O12
_cell_length_a 8.433
_cell_length_b 8.433
_cell_length_c 8.433
_cell_angle_alpha 90.00
_cell_angle_beta 90.00
_cell_angle_gamma 90.00
_space_group_name_H-M_alt 'I m -3 m'
_space_group_IT_number 229
_space_group_name_Hall '-I 4 2 3'
loop_
_atom_site_label
_atom_site_fract_x
_atom_site_fract_y
_atom_site_fract_z
_atom_site_occupancy
K1 0.250 0.250 0.250 1
Ba1 0.000 0.000 0.000 1
Re1 0.000 0.000 0.500 1
O1 0.000 0.000 0.287 1
O2 0.000 0.250 0.500 1

***

Entry 19:
# PBE NdTlInHg, relaxed
# Fermi-level density of states   2.5 states/eV/f.u.
# Calculated formation energy   -1.48 eV/f.u.
# Crystal system   orthorhombic
data_NdTlInHg
_cell_length_a 4.706
_cell_length_b 4.728
_cell_length_c 4.773
_cell_angle_alpha 90.00
_cell_angle_beta 90.00
_cell_angle_gamma 90.00
_space_group_name_H-M_alt 'P m m m'
_space_group_IT_number 47
loop_
_space_group_symop_operation_xyz
'x,y,z'
'-x,-y,-z'
'-x,-y,z'
'x,y,-z'
'x,-y,-z'
'-x,y,z'
'-x,y,-z'
'x,-y,z'
loop_
_atom_site_label
_atom_site_fract_x
_atom_site_fract_y
_atom_site_fract_z
_atom_site_occupancy
Nd1 0.000 0.000 0.000 1
Tl1 0.500 0.500 0.000 1
In1 0.500 0.000 0.500 1
Hg1 0.000 0.500 0.500 1

***

Entry 20:
# PBE BeRh2Se, relaxed
# Fermi-level density of states   5.7 states/eV/f.u.
# Energy relative to the elements, uncorrected   -0.029 eV per atom
# Crystal system   cubic
data_BeRh2Se
_cell_length_a 5.993
_cell_length_b 5.993
_cell_length_c 5.993
_cell_angle_alpha 90.00
_cell_angle_beta 90.00
_cell_angle_gamma 90.00
_space_group_name_H-M_alt 'F m -3 m'
_space_group_IT_number 225
_space_group_name_Hall '-F 4 2 3'
loop_
_atom_site_label
_atom_site_fract_x
_atom_site_fract_y
_atom_site_fract_z
_atom_site_occupancy
Be1 0.000 0.000 0.000 1
Rh1 0.250 0.250 0.250 1
Se1 0.000 0.000 0.500 1

***

Entry 21:
# PBE Ca8In2Sn, relaxed
# Fermi-level density of states   6.2 states/eV/f.u.
# Calculated formation energy   -3.75 eV/f.u.
# Crystal system   orthorhombic
data_Ca8In2Sn
_cell_length_a 5.457
_cell_length_b 8.058
_cell_length_c 16.372
_cell_angle_alpha 90.00
_cell_angle_beta 90.00
_cell_angle_gamma 90.00
_space_group_name_H-M_alt 'I m m m'
_space_group_IT_number 71
_space_group_name_Hall '-I 2 2'
loop_
_atom_site_label
_atom_site_fract_x
_atom_site_fract_y
_atom_site_fract_z
_atom_site_occupancy
Ca1 0.000 0.000 0.168 1
Ca2 0.000 0.226 0.349 1
Ca3 0.000 0.285 0.000 1
In1 0.000 0.500 0.186 1
Sn1 0.000 0.500 0.500 1

***

Entry 22:
# PBE ScCu4Bi, relaxed
# Fermi-level density of states   3.5 states/eV/f.u.
# Calculated formation energy   -0.48 eV/f.u.
# Crystal system   cubic
data_ScCu4Bi
_cell_length_a 7.306
_cell_length_b 7.306
_cell_length_c 7.306
_cell_angle_alpha 90.00
_cell_angle_beta 90.00
_cell_angle_gamma 90.00
_space_group_name_H-M_alt 'F -4 3 m'
_space_group_IT_number 216
_space_group_name_Hall 'F -4 2 3'
loop_
_atom_site_label
_atom_site_fract_x
_atom_site_fract_y
_atom_site_fract_z
_atom_site_occupancy
Sc1 0.000 0.000 0.000 1
Cu1 0.126 0.126 0.374 1
Bi1 0.250 0.250 0.750 1